Entry 1:
DFT (PBE) results for a relaxed TmThPd6 crystal.

Output
E_form, eV/atom: -0.976
Space-group type: No. 123

a b c (Å): 4.1601 4.1601 8.2762
angles (deg): 90.00 90.00 90.00
Last column: nearest neighbours and their distance in Å.
Element x y z (fractional)
Tm  0.0000  0.0000  0.0000  12 Pd 2.91-2.94
Th  0.0000  0.0000  0.5000  12 Pd 2.94-2.96
Pd  0.5000  0.5000  0.0000  8 Pd 2.91, 4 Tm 2.94
Pd  0.5000  0.5000  0.5000  4 Th 2.94, 8 Pd 2.96
Pd  0.5000  0.0000  0.2463  8 Pd 2.91-2.96, 2 Tm 2.91, 2 Th 2.96
Pd  0.5000  0.0000  0.7537  8 Pd 2.91-2.96, 2 Tm 2.91, 2 Th 2.96
Pd  0.0000  0.5000  0.2463  8 Pd 2.91-2.96, 2 Tm 2.91, 2 Th 2.96
Pd  0.0000  0.5000  0.7537  8 Pd 2.91-2.96, 2 Tm 2.91, 2 Th 2.96

Entry 2:
DFT (PBE) results for a relaxed BaBiC2 crystal.

Output
E_form, eV/atom: 1.324
Space-group type: No. 122

a b c (Å): 6.7316 6.7316 6.1761
angles (deg): 56.98 56.98 90.00
Last column: nearest neighbours and their distance in Å.
Element x y z (fractional)
C  0.6932  0.1250  0.2500  2 Bi 2.30
C  0.0568  0.6250  0.2500  2 Bi 2.30
C  0.3750  0.3068  0.7500  2 Bi 2.30
C  0.8750  0.9432  0.7500  2 Bi 2.30
Bi  0.0000  0.0000  0.0000  4 C 2.30
Bi  0.7500  0.2500  0.5000  4 C 2.30
Ba  0.5000  0.5000  0.0000  4 C 2.90
Ba  0.2500  0.7500  0.5000  4 C 2.90

Entry 3:
DFT (PBE) results for a relaxed Cs2UBr8 crystal.

Output
Formation energy without anion corrections, eV/f.u.: -12.9
Space-group type: No. 12

a b c (Å): 5.2481 7.1954 12.6418
angles (deg): 108.37 101.98 90.00
Last column: nearest neighbours and their distance in Å.
Element x y z (fractional)
Cs  0.8175  0.3226  0.6349  4 Br 3.54-3.69
Cs  0.1825  0.6774  0.3651  4 Br 3.54-3.69
U  0.5000  0.0000  0.0000  4 Br 2.69-2.72
Br  0.4368  0.6132  0.8736  1 U 2.72
Br  0.6060  0.9743  0.2120  1 U 2.69
Br  0.7842  0.7843  0.5684  4 Cs 3.54-3.69, 2 Br 3.77
Br  0.9800  0.1878  0.9601  2 U 3.06, 5 Br 3.16-3.36
Br  0.2158  0.2157  0.4316  4 Cs 3.54-3.69, 2 Br 3.77
Br  0.3940  0.0257  0.7880  1 U 2.69
Br  0.5632  0.3868  0.1264  1 U 2.72
Br  0.0200  0.8122  0.0399  2 U 3.06, 5 Br 3.16-3.36

What are the DFT total energy values for these records? In order: -6.36; -4.74; -3.57 eV/atom.
What are the total magnetic moment values for these records? In order: 0.00; 0.00; 0.01 μB per atom.